1.
# LaTbTe, relaxed, DFT PBE
data_LaTbTe
_chemical_formula_sum 'La8 Tb8 Te8'
_cell_length_a 9.098
_cell_length_b 11.719
_cell_length_c 8.121
_cell_angle_alpha 90.00
_cell_angle_beta 90.00
_cell_angle_gamma 90.00
_symmetry_space_group_name_H-M 'C m c e'
_symmetry_Int_Tables_number 64
_symmetry_space_group_name_Hall '-C 2ac 2'
loop_
_atom_site_label
_atom_site_fract_x
_atom_site_fract_y
_atom_site_fract_z
La1 0.199 0.000 0.000
Tb1 0.000 0.188 0.328
Te1 0.000 0.078 0.690
# - Theoretical density: 6.5 g/cm³
# - VASP energy: -4.95 eV per atom
# - Crystal system: orthorhombic
# - M_tot: 0.0 μB/cell
# - DOS at the Fermi energy: 23.05 states/eV/cell
# - Raw formation energy: -0.713 eV/atom



2.
# La2TbTe, relaxed, DFT PBE
data_La2TbTe
_chemical_formula_sum 'La6 Tb3 Te3'
_cell_length_a 3.9376
_cell_length_b 3.9376
_cell_length_c 32.9962
_cell_angle_alpha 90.00
_cell_angle_beta 90.00
_cell_angle_gamma 120.00
_symmetry_space_group_name_H-M 'R -3 m'
_symmetry_Int_Tables_number 166
_symmetry_space_group_name_Hall '-R 3 2"'
loop_
_atom_site_label
_atom_site_fract_x
_atom_site_fract_y
_atom_site_fract_z
La1 0.0000 0.0000 0.0999
Tb1 0.0000 0.0000 0.0000
Te1 0.0000 0.0000 0.5000
# - Theoretical density: 6.3 g/cm³
# - VASP energy: -4.75 eV per atom
# - Crystal system: trigonal
# - M_tot: 1.1 μB/cell
# - DOS at the Fermi energy: 18.54 states/eV/cell
# - Raw formation energy: -0.340 eV/atom



3.
# La2TbTe5, relaxed, DFT PBE
data_La2TbTe5
_chemical_formula_sum 'La2 Tb1 Te5'
_cell_length_a 7.530
_cell_length_b 7.530
_cell_length_c 5.347
_cell_angle_alpha 90.00
_cell_angle_beta 90.00
_cell_angle_gamma 90.00
_symmetry_space_group_name_H-M 'P 4/m m m'
_symmetry_Int_Tables_number 123
_symmetry_space_group_name_Hall '-P 4 2'
loop_
_atom_site_label
_atom_site_fract_x
_atom_site_fract_y
_atom_site_fract_z
La1 0.000 0.500 0.000
Tb1 0.000 0.000 0.500
Te1 0.000 0.000 0.000
Te2 0.280 0.280 0.500
# - Theoretical density: 5.9 g/cm³
# - VASP energy: -4.61 eV per atom
# - Crystal system: tetragonal
# - M_tot: 0.4 μB/cell
# - DOS at the Fermi energy: 6.06 states/eV/cell
# - Raw formation energy: -0.837 eV/atom



4.
# LaTbTe2, relaxed, DFT PBE
data_LaTbTe2
_chemical_formula_sum 'La1 Tb1 Te2'
_cell_length_a 5.462
_cell_length_b 5.462
_cell_length_c 3.873
_cell_angle_alpha 90.00
_cell_angle_beta 90.00
_cell_angle_gamma 90.00
_symmetry_space_group_name_H-M 'P 4/m m m'
_symmetry_Int_Tables_number 123
_symmetry_space_group_name_Hall '-P 4 2'
loop_
_atom_site_label
_atom_site_fract_x
_atom_site_fract_y
_atom_site_fract_z
La1 0.000 0.000 0.000
Tb1 0.500 0.500 0.000
Te1 0.000 0.500 0.500
# - Theoretical density: 7.9 g/cm³
# - VASP energy: -5.28 eV per atom
# - Crystal system: tetragonal
# - M_tot: 0.7 μB/cell
# - DOS at the Fermi energy: 3.49 states/eV/cell
# - Raw formation energy: -1.323 eV/atom



5.
# La4TbTe5, relaxed, DFT PBE
data_La4TbTe5
_chemical_formula_sum 'La8 Tb2 Te10'
_cell_length_a 10.142
_cell_length_b 10.142
_cell_length_c 6.434
_cell_angle_alpha 90.00
_cell_angle_beta 90.00
_cell_angle_gamma 90.00
_symmetry_space_group_name_H-M 'I 4'
_symmetry_Int_Tables_number 79
_symmetry_space_group_name_Hall 'I 4'
loop_
_atom_site_label
_atom_site_fract_x
_atom_site_fract_y
_atom_site_fract_z
La1 0.095 0.696 0.000
Tb1 0.000 0.000 0.501
Te1 0.000 0.000 0.001
Te2 0.100 0.710 0.500
# - Theoretical density: 6.8 g/cm³
# - VASP energy: -5.54 eV per atom
# - Crystal system: tetragonal
# - M_tot: 0.0 μB/cell
# - DOS at the Fermi energy: 13.19 states/eV/cell
# - Raw formation energy: -1.535 eV/atom



6.
# LaTb2Te5, relaxed, DFT PBE
data_LaTb2Te5
_chemical_formula_sum 'La4 Tb8 Te20'
_cell_length_a 8.244
_cell_length_b 8.244
_cell_length_c 14.288
_cell_angle_alpha 90.00
_cell_angle_beta 90.00
_cell_angle_gamma 90.00
_symmetry_space_group_name_H-M 'I 4/m c m'
_symmetry_Int_Tables_number 140
_symmetry_space_group_name_Hall '-I 4 2c'
loop_
_atom_site_label
_atom_site_fract_x
_atom_site_fract_y
_atom_site_fract_z
La1 0.000 0.000 0.250
Tb1 0.152 0.348 0.000
Te1 0.000 0.000 0.000
Te2 0.155 0.345 0.353
# - Theoretical density: 7.5 g/cm³
# - VASP energy: -5.04 eV per atom
# - Crystal system: tetragonal
# - M_tot: 0.0 μB/cell
# - DOS at the Fermi energy: 22.01 states/eV/cell
# - Raw formation energy: -1.300 eV/atom



7.
# La2Tb2Te7, relaxed, DFT PBE
data_La2Tb2Te7
_chemical_formula_sum 'La4 Tb4 Te14'
_cell_length_a 11.211
_cell_length_b 11.387
_cell_length_c 7.007
_cell_angle_alpha 90.00
_cell_angle_beta 90.00
_cell_angle_gamma 90.00
_symmetry_space_group_name_H-M 'C m m m'
_symmetry_Int_Tables_number 65
_symmetry_space_group_name_Hall '-C 2 2'
loop_
_atom_site_label
_atom_site_fract_x
_atom_site_fract_y
_atom_site_fract_z
La1 0.234 0.000 0.000
Tb1 0.000 0.214 0.500
Te1 0.000 0.000 0.253
Te2 0.000 0.500 0.000
Te3 0.250 0.250 0.262
# - Theoretical density: 5.5 g/cm³
# - VASP energy: -4.82 eV per atom
# - Crystal system: orthorhombic
# - M_tot: 0.0 μB/cell
# - DOS at the Fermi energy: 9.97 states/eV/cell
# - Raw formation energy: -1.085 eV/atom



8.
# LaTbTe6, relaxed, DFT PBE
data_LaTbTe6
_chemical_formula_sum 'La2 Tb2 Te12'
_cell_length_a 4.389
_cell_length_b 4.388
_cell_length_c 27.429
_cell_angle_alpha 90.00
_cell_angle_beta 90.00
_cell_angle_gamma 90.00
_symmetry_space_group_name_H-M 'A m m 2'
_symmetry_Int_Tables_number 38
_symmetry_space_group_name_Hall 'A 2 -2'
loop_
_atom_site_label
_atom_site_fract_x
_atom_site_fract_y
_atom_site_fract_z
La1 0.000 0.000 0.000
Tb1 0.500 0.000 0.345
Te1 0.000 0.000 0.254
Te2 0.000 0.000 0.596
Te3 0.000 0.000 0.878
Te4 0.500 0.000 0.096
Te5 0.500 0.000 0.464
Te6 0.500 0.000 0.754
# - Theoretical density: 6.7 g/cm³
# - VASP energy: -4.55 eV per atom
# - Crystal system: orthorhombic
# - M_tot: 0.0 μB/cell
# - DOS at the Fermi energy: 4.76 states/eV/cell
# - Raw formation energy: -0.999 eV/atom



9.
# La6TbTe8, relaxed, DFT PBE
data_La6TbTe8
_chemical_formula_sum 'La24 Tb4 Te32'
_cell_length_a 12.897
_cell_length_b 12.897
_cell_length_c 12.897
_cell_angle_alpha 90.00
_cell_angle_beta 90.00
_cell_angle_gamma 90.00
_symmetry_space_group_name_H-M 'F m -3 m'
_symmetry_Int_Tables_number 225
_symmetry_space_group_name_Hall '-F 4 2 3'
loop_
_atom_site_label
_atom_site_fract_x
_atom_site_fract_y
_atom_site_fract_z
La1 0.000 0.250 0.250
Tb1 0.000 0.000 0.000
Te1 0.000 0.000 0.246
Te2 0.250 0.250 0.250
# - Theoretical density: 6.2 g/cm³
# - VASP energy: -5.53 eV per atom
# - Crystal system: cubic
# - M_tot: 0.0 μB/cell
# - DOS at the Fermi energy: 36.86 states/eV/cell
# - Raw formation energy: -1.578 eV/atom



10.
# LaTb2Te, relaxed, DFT PBE
data_LaTb2Te
_chemical_formula_sum 'La3 Tb6 Te3'
_cell_length_a 3.8431
_cell_length_b 3.8431
_cell_length_c 32.9184
_cell_angle_alpha 90.00
_cell_angle_beta 90.00
_cell_angle_gamma 120.00
_symmetry_space_group_name_H-M 'R -3 m'
_symmetry_Int_Tables_number 166
_symmetry_space_group_name_Hall '-R 3 2"'
loop_
_atom_site_label
_atom_site_fract_x
_atom_site_fract_y
_atom_site_fract_z
La1 0.0000 0.0000 0.0000
Tb1 0.0000 0.0000 0.1042
Te1 0.0000 0.0000 0.5000
# - Theoretical density: 6.9 g/cm³
# - VASP energy: -4.63 eV per atom
# - Crystal system: trigonal
# - M_tot: 0.8 μB/cell
# - DOS at the Fermi energy: 20.47 states/eV/cell
# - Raw formation energy: -0.293 eV/atom



11.
# LaTb2Te, relaxed, DFT PBE
data_LaTb2Te
_chemical_formula_sum 'La3 Tb6 Te3'
_cell_length_a 3.9349
_cell_length_b 3.9349
_cell_length_c 30.1016
_cell_angle_alpha 90.00
_cell_angle_beta 90.00
_cell_angle_gamma 120.00
_symmetry_space_group_name_H-M 'R 3 m'
_symmetry_Int_Tables_number 160
_symmetry_space_group_name_Hall 'R 3 -2"'
loop_
_atom_site_label
_atom_site_fract_x
_atom_site_fract_y
_atom_site_fract_z
La1 0.0000 0.0000 0.0000
Tb1 0.0000 0.0000 0.2356
Tb2 0.0000 0.0000 0.4305
Te1 0.0000 0.0000 0.8331
# - Theoretical density: 7.2 g/cm³
# - VASP energy: -4.87 eV per atom
# - Crystal system: trigonal
# - M_tot: 0.2 μB/cell
# - DOS at the Fermi energy: 15.83 states/eV/cell
# - Raw formation energy: -0.536 eV/atom